## TiIn2Bi2 (PBE-GGA)

Data for TiIn2Bi2 after structural relaxation.

```
data_TiIn2Bi2
_chemical_formula_sum 'Ti2 In4 Bi4'
_symmetry_space_group_name_H-M 'P 4/m b m'
_symmetry_Int_Tables_number 127
_symmetry_space_group_name_Hall '-P 4 2ab'
_cell_length_a 7.5484
_cell_length_b 7.5484
_cell_length_c 4.9999
_cell_angle_alpha 90.00
_cell_angle_beta 90.00
_cell_angle_gamma 90.00
loop_
_atom_site_label
_atom_site_type_symbol
_atom_site_fract_x
_atom_site_fract_y
_atom_site_fract_z
Ti1 Ti 0.0000 0.0000 0.0000
In1 In 0.1621 0.3379 0.5000
Bi1 Bi 0.1547 0.6547 0.0000
```

energy of formation: 0.203 eV per atom
M_tot: 0.0 μB per cell
calculated density: 8.1 g/cm³


## Ti6InBi2 (PBE-GGA)

Data for Ti6InBi2 after structural relaxation.

```
data_Ti6InBi2
_chemical_formula_sum 'Ti6 In1 Bi2'
_symmetry_space_group_name_H-M 'P -1'
_symmetry_Int_Tables_number 2
_cell_length_a 3.0191
_cell_length_b 8.1645
_cell_length_c 8.3916
_cell_angle_alpha 118.20
_cell_angle_beta 98.44
_cell_angle_gamma 94.09
loop_
_symmetry_equiv_pos_as_xyz
'x,y,z'
'-x,-y,-z'
loop_
_atom_site_label
_atom_site_type_symbol
_atom_site_fract_x
_atom_site_fract_y
_atom_site_fract_z
Ti1 Ti 0.0767 0.3268 0.0000
Ti2 Ti 0.1516 0.3440 0.3438
Ti3 Ti 0.1891 0.0001 0.3438
In1 In 0.5000 0.0000 0.0000
Bi1 Bi 0.3479 0.3462 0.6928
```

energy of formation: 0.158 eV per atom
M_tot: 0.0 μB per cell
calculated density: 7.7 g/cm³


## Ti6InBi (PBE-GGA)

Data for Ti6InBi after structural relaxation.

```
data_Ti6InBi
_chemical_formula_sum 'Ti12 In2 Bi2'
_symmetry_space_group_name_H-M 'A m m 2'
_symmetry_Int_Tables_number 38
_cell_length_a 4.7966
_cell_length_b 6.0252
_cell_length_c 10.1938
_cell_angle_alpha 90.00
_cell_angle_beta 90.00
_cell_angle_gamma 90.00
loop_
_symmetry_equiv_pos_as_xyz
'x,y,z'
'-x,-y,z'
'-x,y,z'
'x,-y,z'
'x,y+1/2,z+1/2'
'-x,-y+1/2,z+1/2'
'-x,y+1/2,z+1/2'
'x,-y+1/2,z+1/2'
loop_
_atom_site_label
_atom_site_type_symbol
_atom_site_fract_x
_atom_site_fract_y
_atom_site_fract_z
Ti1 Ti 0.0000 0.0000 0.0000
Ti2 Ti 0.0000 0.2430 0.2400
Ti3 Ti 0.5000 0.0000 0.3102
Ti4 Ti 0.5000 0.2453 0.0693
In1 In 0.0000 0.0000 0.4892
Bi1 Bi 0.5000 0.0000 0.8200
```

energy of formation: -0.118 eV per atom
M_tot: 0.0 μB per cell
calculated density: 6.9 g/cm³


## TiInBi (PBE-GGA)

Data for TiInBi after structural relaxation.

```
data_TiInBi
_chemical_formula_sum 'Ti6 In6 Bi6'
_symmetry_space_group_name_H-M 'P m m a'
_symmetry_Int_Tables_number 51
_cell_length_a 13.0154
_cell_length_b 3.9775
_cell_length_c 8.4705
_cell_angle_alpha 90.00
_cell_angle_beta 90.00
_cell_angle_gamma 90.00
loop_
_symmetry_equiv_pos_as_xyz
'x,y,z'
'-x,-y,-z'
'-x+1/2,-y,z'
'x+1/2,y,-z'
'x+1/2,-y,-z'
'-x+1/2,y,z'
'-x,y,-z'
'x,-y,z'
loop_
_atom_site_label
_atom_site_type_symbol
_atom_site_fract_x
_atom_site_fract_y
_atom_site_fract_z
Ti1 Ti 0.0928 0.0000 0.0859
Ti2 Ti 0.2500 0.5000 0.5904
In1 In 0.1132 0.0000 0.4444
In2 In 0.2500 0.0000 0.8403
Bi1 Bi 0.0595 0.5000 0.7975
Bi2 Bi 0.2500 0.5000 0.2066
```

energy of formation: 0.047 eV per atom
polymorph energy (0 for the lowest one): 127 meV per atom
M_tot: 5.4 μB per cell
calculated density: 8.4 g/cm³